The following is a DFT calculation (PBE) of an optimized crystal structure of SrScO.

Structure (POSCAR):
```
SrScO
1.0
3.4884 0.0000 0.0000
-1.7442 3.0210 0.0000
0.0000 0.0000 6.0287
Sr Sc O
1 1 1
direct
0.0000 0.0000 0.0000
0.3333 0.6667 0.5421
0.6667 0.3333 0.6951
```

Results
Symmetry ... P3m1 (156)
Energy ... -5.898 eV per atom
Size of the total moment ... 0.362 μB/atom

---

The following is a DFT calculation (PBE) of an optimized crystal structure of Sr2ScO2.

Structure (POSCAR):
```
Sr2ScO2
1.0
4.9517 0.0000 0.0000
0.0000 4.9517 0.0000
0.0000 0.0000 10.6299
Sr Sc O
4 2 4
direct
0.0000 0.5000 0.2500
0.0000 0.5000 0.7500
0.5000 0.0000 0.2500
0.5000 0.0000 0.7500
0.0000 0.0000 0.0000
0.5000 0.5000 0.5000
0.0000 0.0000 0.1883
0.0000 0.0000 0.8117
0.5000 0.5000 0.3117
0.5000 0.5000 0.6883
```

Results
Symmetry ... I4/mmm (139)
Energy ... -5.981 eV per atom
Size of the total moment ... 0.001 μB/atom

---

The following is a DFT calculation (PBE) of an optimized crystal structure of SrScO2.

Structure (POSCAR):
```
SrScO2
1.0
5.9298 0.0000 0.0000
0.0000 5.9298 0.0000
0.0000 0.0000 5.9298
Sr Sc O
4 4 8
direct
0.0000 0.0000 0.0000
0.0000 0.5000 0.5000
0.5000 0.0000 0.5000
0.5000 0.5000 0.0000
0.0000 0.0000 0.5000
0.0000 0.5000 0.0000
0.5000 0.0000 0.0000
0.5000 0.5000 0.5000
0.2500 0.2500 0.2500
0.2500 0.2500 0.7500
0.2500 0.7500 0.2500
0.2500 0.7500 0.7500
0.7500 0.2500 0.2500
0.7500 0.2500 0.7500
0.7500 0.7500 0.2500
0.7500 0.7500 0.7500
```

Results
Symmetry ... Fm-3m (225)
Energy ... -6.528 eV per atom
Size of the total moment ... 0.213 μB/atom

---

The following is a DFT calculation (PBE) of an optimized crystal structure of Sr3ScO.

Structure (POSCAR):
```
Sr3ScO
1.0
5.3555 0.0000 0.0000
0.0000 5.3555 0.0000
0.0000 0.0000 5.3555
Sr Sc O
3 1 1
direct
0.0000 0.0000 0.5000
0.0000 0.5000 0.0000
0.5000 0.0000 0.0000
0.5000 0.5000 0.5000
0.0000 0.0000 0.0000
```

Results
Symmetry ... Pm-3m (221)
Energy ... -4.042 eV per atom
Size of the total moment ... 0.158 μB/atom

---

The following is a DFT calculation (PBE) of an optimized crystal structure of SrScO2.

Structure (POSCAR):
```
SrScO2
1.0
5.3406 0.0000 0.0000
0.0000 5.3406 0.0000
0.0000 0.0000 10.1812
Sr Sc O
4 4 8
direct
0.0000 0.0000 0.0000
0.0000 0.5000 0.2500
0.5000 0.0000 0.7500
0.5000 0.5000 0.5000
0.0000 0.0000 0.5000
0.0000 0.5000 0.7500
0.5000 0.0000 0.2500
0.5000 0.5000 0.0000
0.1815 0.2500 0.6250
0.2500 0.6815 0.8750
0.2500 0.8185 0.3750
0.3185 0.2500 0.1250
0.6815 0.7500 0.1250
0.7500 0.1815 0.3750
0.7500 0.3185 0.8750
0.8185 0.7500 0.6250
```

Results
Symmetry ... I-42d (122)
Energy ... -7.137 eV per atom
Size of the total moment ... 0.220 μB/atom

---

The following is a DFT calculation (PBE) of an optimized crystal structure of Sr2Sc2O5.

Structure (POSCAR):
```
Sr2Sc2O5
1.0
5.8268 -2.0846 0.0000
5.8268 2.0846 0.0000
-2.3882 0.0000 5.6513
Sr Sc O
2 2 5
direct
0.1148 0.1148 0.3132
0.8852 0.8852 0.6868
0.3553 0.3553 0.1313
0.6447 0.6447 0.8687
0.1632 0.1632 0.9340
0.3502 0.3502 0.4471
0.5000 0.5000 0.0000
0.6498 0.6498 0.5529
0.8368 0.8368 0.0660
```

Results
Symmetry ... C2/m (12)
Energy ... -7.677 eV per atom
Size of the total moment ... 0.000 μB/atom

---

> What is the formula in the second record?

Sr2ScO2

---

> Among the records above, which one has the highest size of the total moment?

SrScO

---

> Which value of size of the total moment does entry 2 give?

0.001 μB/atom

---

> Number 6 is which compound?

Sr2Sc2O5